Computed, not measured: crystalline NdBe2Pt8 at its relaxed geometry at the GGA-PBE level of DFT.

Energy of formation from the pure elements in meV per atom: -200
Crystal system: tetragonal

Unit cell a=5.309 b=5.309 c=7.684 alpha=90.00 beta=90.00 gamma=90.00
Fractional positions:
Nd (0.000, 0.000, 0.000)
Be (0.000, 0.500, 0.500)
Be (0.500, 0.000, 0.500)
Pt (0.253, 0.253, 0.303)
Pt (0.253, 0.253, 0.697)
Pt (0.253, 0.747, 0.303)
Pt (0.253, 0.747, 0.697)
Pt (0.747, 0.253, 0.303)
Pt (0.747, 0.253, 0.697)
Pt (0.747, 0.747, 0.303)
Pt (0.747, 0.747, 0.697)

***

Computed, not measured: crystalline NdBe2Pt6 at its relaxed geometry at the GGA-PBE level of DFT.

Energy of formation from the pure elements in meV per atom: -467
Crystal system: cubic

Unit cell a=7.706 b=7.706 c=7.706 alpha=60.00 beta=60.00 gamma=60.00
Fractional positions:
Nd (0.125, 0.125, 0.125)
Nd (0.875, 0.875, 0.875)
Be (0.000, 0.500, 0.500)
Be (0.500, 0.000, 0.500)
Be (0.500, 0.500, 0.000)
Be (0.500, 0.500, 0.500)
Pt (0.140, 0.140, 0.610)
Pt (0.140, 0.610, 0.140)
Pt (0.140, 0.610, 0.610)
Pt (0.390, 0.390, 0.860)
Pt (0.390, 0.860, 0.390)
Pt (0.390, 0.860, 0.860)
Pt (0.610, 0.140, 0.140)
Pt (0.610, 0.140, 0.610)
Pt (0.610, 0.610, 0.140)
Pt (0.860, 0.390, 0.390)
Pt (0.860, 0.390, 0.860)
Pt (0.860, 0.860, 0.390)

***

Computed, not measured: crystalline NdBePt2 at its relaxed geometry at the GGA-PBE level of DFT.

Energy of formation from the pure elements in meV per atom: -1014
Crystal system: orthorhombic

Unit cell a=8.930 b=8.930 c=4.156 alpha=90.00 beta=90.00 gamma=154.12
Fractional positions:
Nd (0.105, 0.895, 0.750)
Nd (0.895, 0.105, 0.250)
Be (0.316, 0.684, 0.750)
Be (0.684, 0.316, 0.250)
Pt (0.250, 0.750, 0.250)
Pt (0.449, 0.551, 0.750)
Pt (0.551, 0.449, 0.250)
Pt (0.750, 0.250, 0.750)

***

Computed, not measured: crystalline Nd2Be6Pt9 at its relaxed geometry at the GGA-PBE level of DFT.

Energy of formation from the pure elements in meV per atom: -830
Crystal system: hexagonal

Unit cell a=5.569 b=5.569 c=10.148 alpha=90.00 beta=90.00 gamma=120.00
Fractional positions:
Nd (0.000, 0.000, 0.192)
Nd (0.000, 0.000, 0.808)
Be (0.333, 0.667, 0.166)
Be (0.333, 0.667, 0.500)
Be (0.333, 0.667, 0.834)
Be (0.667, 0.333, 0.166)
Be (0.667, 0.333, 0.500)
Be (0.667, 0.333, 0.834)
Pt (0.000, 0.500, 0.000)
Pt (0.000, 0.500, 0.336)
Pt (0.000, 0.500, 0.664)
Pt (0.500, 0.000, 0.000)
Pt (0.500, 0.000, 0.336)
Pt (0.500, 0.000, 0.664)
Pt (0.500, 0.500, 0.000)
Pt (0.500, 0.500, 0.336)
Pt (0.500, 0.500, 0.664)

***

Computed, not measured: crystalline Nd2Be3Pt4 at its relaxed geometry at the GGA-PBE level of DFT.

Energy of formation from the pure elements in meV per atom: -765
Crystal system: orthorhombic

Unit cell a=7.738 b=6.791 c=5.319 alpha=78.39 beta=59.29 gamma=42.33
Fractional positions:
Nd (0.148, 0.148, 0.852)
Nd (0.852, 0.852, 0.148)
Be (0.000, 0.000, 0.500)
Be (0.500, 0.500, 0.000)
Be (0.500, 0.500, 0.500)
Pt (0.192, 0.527, 0.473)
Pt (0.473, 0.808, 0.192)
Pt (0.527, 0.192, 0.808)
Pt (0.808, 0.473, 0.527)

***

Computed, not measured: crystalline NdBePt3 at its relaxed geometry at the GGA-PBE level of DFT.

Energy of formation from the pure elements in meV per atom: -895
Crystal system: hexagonal

Unit cell a=5.927 b=5.927 c=5.689 alpha=90.00 beta=90.00 gamma=120.00
Fractional positions:
Nd (0.333, 0.667, 0.250)
Nd (0.667, 0.333, 0.750)
Be (0.000, 0.000, 0.000)
Be (0.000, 0.000, 0.500)
Pt (0.176, 0.352, 0.750)
Pt (0.176, 0.824, 0.750)
Pt (0.352, 0.176, 0.250)
Pt (0.648, 0.824, 0.750)
Pt (0.824, 0.176, 0.250)
Pt (0.824, 0.648, 0.250)

***

Computed, not measured: crystalline NdBePt3 at its relaxed geometry at the GGA-PBE level of DFT.

Energy of formation from the pure elements in meV per atom: -917
Crystal system: monoclinic

Unit cell a=5.861 b=5.793 c=5.907 alpha=90.00 beta=119.55 gamma=90.00
Fractional positions:
Nd (0.243, 0.250, 0.487)
Nd (0.757, 0.750, 0.513)
Be (0.094, 0.750, 0.190)
Be (0.906, 0.250, 0.810)
Pt (0.257, 0.000, 0.000)
Pt (0.257, 0.500, 0.000)
Pt (0.313, 0.750, 0.624)
Pt (0.687, 0.250, 0.376)
Pt (0.743, 0.000, 0.000)
Pt (0.743, 0.500, 0.000)

***

Computed, not measured: crystalline NdBe2Pt4 at its relaxed geometry at the GGA-PBE level of DFT.

Energy of formation from the pure elements in meV per atom: -809
Crystal system: tetragonal

Unit cell a=7.607 b=7.607 c=3.797 alpha=90.00 beta=90.00 gamma=90.00
Fractional positions:
Nd (0.000, 0.000, 0.000)
Nd (0.500, 0.500, 0.500)
Be (0.230, 0.230, 0.500)
Be (0.270, 0.730, 0.000)
Be (0.730, 0.270, 0.000)
Be (0.770, 0.770, 0.500)
Pt (0.076, 0.674, 0.500)
Pt (0.174, 0.424, 0.000)
Pt (0.326, 0.924, 0.500)
Pt (0.424, 0.174, 0.000)
Pt (0.576, 0.826, 0.000)
Pt (0.674, 0.076, 0.500)
Pt (0.826, 0.576, 0.000)
Pt (0.924, 0.326, 0.500)

***

- Number 5 is which compound?
  Nd2Be3Pt4

***

Please write out number 1 again, unchanged.
Computed, not measured: crystalline NdBe2Pt8 at its relaxed geometry at the GGA-PBE level of DFT.

Energy of formation from the pure elements in meV per atom: -200
Crystal system: tetragonal

Unit cell a=5.309 b=5.309 c=7.684 alpha=90.00 beta=90.00 gamma=90.00
Fractional positions:
Nd (0.000, 0.000, 0.000)
Be (0.000, 0.500, 0.500)
Be (0.500, 0.000, 0.500)
Pt (0.253, 0.253, 0.303)
Pt (0.253, 0.253, 0.697)
Pt (0.253, 0.747, 0.303)
Pt (0.253, 0.747, 0.697)
Pt (0.747, 0.253, 0.303)
Pt (0.747, 0.253, 0.697)
Pt (0.747, 0.747, 0.303)
Pt (0.747, 0.747, 0.697)